Entry 1:
# AcPrAsO | OQMD via LeMat-Bulk | GGA-PBE | relaxed
data_AcPrAsO
_cell_length_a 4.5621
_cell_length_b 4.5621
_cell_length_c 9.7667
_cell_angle_alpha 90.00
_cell_angle_beta 90.00
_cell_angle_gamma 90.00
_space_group_name_H-M_alt 'P 1'
_space_group_IT_number 1
loop_
_space_group_symop_operation_xyz
'x,y,z'
loop_
_atom_site_label
_atom_site_type_symbol
_atom_site_fract_x
_atom_site_fract_y
_atom_site_fract_z
Ac1 Ac 0.2500 0.2500 0.1125
Ac2 Ac 0.7500 0.7500 0.8875
As1 As 0.7500 0.7500 0.3001
As2 As 0.2500 0.2500 0.6999
O1 O 0.7500 0.2500 0.0000
O2 O 0.2500 0.7500 0.0000
Pr1 Pr 0.7500 0.2500 0.5000
Pr2 Pr 0.2500 0.7500 0.5000
# Spin magnetization ... 0.51 μB per formula unit
# Energy relative to the lowest polymorph listed for this composition ... 0.0 meV/atom
# Total energy ... -6.55 eV per atom

---

Entry 2:
# AcPrAsO | OQMD via LeMat-Bulk | GGA-PBE | relaxed
data_AcPrAsO
_cell_length_a 4.3632
_cell_length_b 8.5108
_cell_length_c 6.0758
_cell_angle_alpha 90.00
_cell_angle_beta 90.00
_cell_angle_gamma 90.00
_space_group_name_H-M_alt 'P 1'
_space_group_IT_number 1
loop_
_space_group_symop_operation_xyz
'x,y,z'
loop_
_atom_site_label
_atom_site_type_symbol
_atom_site_fract_x
_atom_site_fract_y
_atom_site_fract_z
Ac1 Ac 0.0000 0.6146 0.4890
Ac2 Ac 0.0000 0.3854 0.9890
As1 As 0.5000 0.8527 0.4361
As2 As 0.5000 0.1473 0.9361
O1 O 0.0000 0.3198 0.3880
O2 O 0.0000 0.6802 0.8880
Pr1 Pr 0.5000 0.1954 0.4409
Pr2 Pr 0.5000 0.8046 0.9409
# Spin magnetization ... 0.55 μB per formula unit
# Energy relative to the lowest polymorph listed for this composition ... 81.8 meV/atom
# Total energy ... -6.47 eV per atom

---

Entry 3:
# AcReAsO | OQMD via LeMat-Bulk | GGA-PBE | relaxed
data_AcReAsO
_cell_length_a 4.4743
_cell_length_b 6.5201
_cell_length_c 6.2953
_cell_angle_alpha 90.00
_cell_angle_beta 90.00
_cell_angle_gamma 90.00
_space_group_name_H-M_alt 'P 1'
_space_group_IT_number 1
loop_
_space_group_symop_operation_xyz
'x,y,z'
loop_
_atom_site_label
_atom_site_type_symbol
_atom_site_fract_x
_atom_site_fract_y
_atom_site_fract_z
Ac1 Ac 0.0000 0.7293 0.4408
Ac2 Ac 0.0000 0.2707 0.9408
As1 As 0.0000 0.2383 0.4389
As2 As 0.0000 0.7617 0.9389
O1 O 0.5000 0.8468 0.3429
O2 O 0.5000 0.1532 0.8429
Re1 Re 0.5000 0.8995 0.0314
Re2 Re 0.5000 0.1005 0.5314
# Spin magnetization ... 0.00 μB per formula unit
# Energy relative to the lowest polymorph listed for this composition ... 709.2 meV/atom
# Total energy ... -7.41 eV per atom

---

Entry 4:
# AcReAsO | OQMD via LeMat-Bulk | GGA-PBE | relaxed
data_AcReAsO
_cell_length_a 4.0344
_cell_length_b 4.6028
_cell_length_c 8.0243
_cell_angle_alpha 90.00
_cell_angle_beta 90.00
_cell_angle_gamma 90.00
_space_group_name_H-M_alt 'P 1'
_space_group_IT_number 1
loop_
_space_group_symop_operation_xyz
'x,y,z'
loop_
_atom_site_label
_atom_site_type_symbol
_atom_site_fract_x
_atom_site_fract_y
_atom_site_fract_z
Ac1 Ac 0.0000 0.2518 0.1060
Ac2 Ac 0.0000 0.7482 0.6060
As1 As 0.5000 0.7488 0.2716
As2 As 0.5000 0.2512 0.7716
O1 O 0.0000 0.2472 0.4385
O2 O 0.0000 0.7528 0.9385
Re1 Re 0.5000 0.2471 0.4379
Re2 Re 0.5000 0.7529 0.9379
# Spin magnetization ... 0.00 μB per formula unit
# Energy relative to the lowest polymorph listed for this composition ... 463.0 meV/atom
# Total energy ... -7.66 eV per atom

---

Entry 5:
# AcReAsO | OQMD via LeMat-Bulk | GGA-PBE | relaxed
data_AcReAsO
_cell_length_a 4.0929
_cell_length_b 4.0929
_cell_length_c 9.3504
_cell_angle_alpha 90.00
_cell_angle_beta 90.00
_cell_angle_gamma 90.00
_space_group_name_H-M_alt 'P 1'
_space_group_IT_number 1
loop_
_space_group_symop_operation_xyz
'x,y,z'
loop_
_atom_site_label
_atom_site_type_symbol
_atom_site_fract_x
_atom_site_fract_y
_atom_site_fract_z
Ac1 Ac 0.0000 0.5000 0.1423
Ac2 Ac 0.5000 0.0000 0.8577
As1 As 0.5000 0.0000 0.3409
As2 As 0.0000 0.5000 0.6591
O1 O 0.0000 0.0000 0.0000
O2 O 0.5000 0.5000 0.0000
Re1 Re 0.0000 0.0000 0.5000
Re2 Re 0.5000 0.5000 0.5000
# Spin magnetization ... 0.01 μB per formula unit
# Energy relative to the lowest polymorph listed for this composition ... 0.0 meV/atom
# Total energy ... -8.12 eV per atom

---

Entry 6:
# AcReAsO | OQMD via LeMat-Bulk | GGA-PBE | relaxed
data_AcReAsO
_cell_length_a 4.4514
_cell_length_b 4.4514
_cell_length_c 7.3757
_cell_angle_alpha 90.00
_cell_angle_beta 90.00
_cell_angle_gamma 90.00
_space_group_name_H-M_alt 'P 1'
_space_group_IT_number 1
loop_
_space_group_symop_operation_xyz
'x,y,z'
loop_
_atom_site_label
_atom_site_type_symbol
_atom_site_fract_x
_atom_site_fract_y
_atom_site_fract_z
Ac1 Ac 0.0000 0.0000 0.5000
Ac2 Ac 0.5000 0.5000 0.5000
As1 As 0.5000 0.0000 0.2053
As2 As 0.0000 0.5000 0.7947
O1 O 0.0000 0.0000 0.0000
O2 O 0.5000 0.5000 0.0000
Re1 Re 0.0000 0.5000 0.1196
Re2 Re 0.5000 0.0000 0.8804
# Spin magnetization ... 0.44 μB per formula unit
# Energy relative to the lowest polymorph listed for this composition ... 1999.5 meV/atom
# Total energy ... -6.12 eV per atom

---

Entry 7:
# AcSmAsO | OQMD via LeMat-Bulk | GGA-PBE | relaxed
data_AcSmAsO
_cell_length_a 4.4958
_cell_length_b 7.8936
_cell_length_c 6.4354
_cell_angle_alpha 90.00
_cell_angle_beta 90.00
_cell_angle_gamma 90.00
_space_group_name_H-M_alt 'P 1'
_space_group_IT_number 1
loop_
_space_group_symop_operation_xyz
'x,y,z'
loop_
_atom_site_label
_atom_site_type_symbol
_atom_site_fract_x
_atom_site_fract_y
_atom_site_fract_z
Ac1 Ac 0.0000 0.7063 0.4401
Ac2 Ac 0.0000 0.2937 0.9401
As1 As 0.0000 0.3168 0.4330
As2 As 0.0000 0.6832 0.9330
O1 O 0.5000 0.8386 0.3668
O2 O 0.5000 0.1614 0.8668
Sm1 Sm 0.5000 0.8922 0.0141
Sm2 Sm 0.5000 0.1078 0.5141
# Spin magnetization ... 0.01 μB per formula unit
# Energy relative to the lowest polymorph listed for this composition ... 74.7 meV/atom
# Total energy ... -6.55 eV per atom

---

Entry 8:
# AcSmAsO | OQMD via LeMat-Bulk | GGA-PBE | relaxed
data_AcSmAsO
_cell_length_a 4.5806
_cell_length_b 4.5806
_cell_length_c 9.2482
_cell_angle_alpha 90.00
_cell_angle_beta 90.00
_cell_angle_gamma 90.00
_space_group_name_H-M_alt 'P 1'
_space_group_IT_number 1
loop_
_space_group_symop_operation_xyz
'x,y,z'
loop_
_atom_site_label
_atom_site_type_symbol
_atom_site_fract_x
_atom_site_fract_y
_atom_site_fract_z
Ac1 Ac 0.0000 0.0000 0.5000
Ac2 Ac 0.5000 0.5000 0.5000
As1 As 0.5000 0.0000 0.2738
As2 As 0.0000 0.5000 0.7262
O1 O 0.0000 0.0000 0.0000
O2 O 0.5000 0.5000 0.0000
Sm1 Sm 0.0000 0.5000 0.0851
Sm2 Sm 0.5000 0.0000 0.9149
# Spin magnetization ... 0.24 μB per formula unit
# Energy relative to the lowest polymorph listed for this composition ... 388.8 meV/atom
# Total energy ... -6.24 eV per atom

---

Entry 9:
# AcSmAsO | OQMD via LeMat-Bulk | GGA-PBE | relaxed
data_AcSmAsO
_cell_length_a 4.3624
_cell_length_b 6.2248
_cell_length_c 7.6976
_cell_angle_alpha 90.00
_cell_angle_beta 90.00
_cell_angle_gamma 90.00
_space_group_name_H-M_alt 'P 1'
_space_group_IT_number 1
loop_
_space_group_symop_operation_xyz
'x,y,z'
loop_
_atom_site_label
_atom_site_type_symbol
_atom_site_fract_x
_atom_site_fract_y
_atom_site_fract_z
Ac1 Ac 0.5000 0.4146 0.1021
Ac2 Ac 0.5000 0.5854 0.6021
As1 As 0.0000 0.6872 0.3039
As2 As 0.0000 0.3128 0.8039
O1 O 0.5000 0.2468 0.4057
O2 O 0.5000 0.7532 0.9057
Sm1 Sm 0.0000 0.1300 0.4422
Sm2 Sm 0.0000 0.8700 0.9422
# Spin magnetization ... 0.96 μB per formula unit
# Energy relative to the lowest polymorph listed for this composition ... 0.0 meV/atom
# Total energy ... -6.62 eV per atom

---

Entry 10:
# AcSmAsO | OQMD via LeMat-Bulk | GGA-PBE | relaxed
data_AcSmAsO
_cell_length_a 4.5587
_cell_length_b 4.5587
_cell_length_c 9.5882
_cell_angle_alpha 90.00
_cell_angle_beta 90.00
_cell_angle_gamma 90.00
_space_group_name_H-M_alt 'P 1'
_space_group_IT_number 1
loop_
_space_group_symop_operation_xyz
'x,y,z'
loop_
_atom_site_label
_atom_site_type_symbol
_atom_site_fract_x
_atom_site_fract_y
_atom_site_fract_z
Ac1 Ac 0.2500 0.2500 0.1149
Ac2 Ac 0.7500 0.7500 0.8851
As1 As 0.7500 0.7500 0.3081
As2 As 0.2500 0.2500 0.6919
O1 O 0.7500 0.2500 0.0000
O2 O 0.2500 0.7500 0.0000
Sm1 Sm 0.7500 0.2500 0.5000
Sm2 Sm 0.2500 0.7500 0.5000
# Spin magnetization ... 0.50 μB per formula unit
# Energy relative to the lowest polymorph listed for this composition ... 49.7 meV/atom
# Total energy ... -6.57 eV per atom

---

Entry 11:
# AcZnAsO | OQMD via LeMat-Bulk | GGA-PBE | relaxed
data_AcZnAsO
_cell_length_a 5.0441
_cell_length_b 4.2504
_cell_length_c 7.3618
_cell_angle_alpha 90.00
_cell_angle_beta 90.00
_cell_angle_gamma 90.00
_space_group_name_H-M_alt 'P 1'
_space_group_IT_number 1
loop_
_space_group_symop_operation_xyz
'x,y,z'
loop_
_atom_site_label
_atom_site_type_symbol
_atom_site_fract_x
_atom_site_fract_y
_atom_site_fract_z
Ac1 Ac 0.5000 0.7463 0.1057
Ac2 Ac 0.5000 0.2537 0.6057
As1 As 0.0000 0.2551 0.2716
As2 As 0.0000 0.7449 0.7716
O1 O 0.5000 0.7546 0.4390
O2 O 0.5000 0.2454 0.9390
Zn1 Zn 0.0000 0.7554 0.4377
Zn2 Zn 0.0000 0.2446 0.9377
# Spin magnetization ... 0.00 μB per formula unit
# Energy relative to the lowest polymorph listed for this composition ... 156.5 meV/atom
# Total energy ... -5.45 eV per atom

---

Entry 12:
# AcZnAsO | OQMD via LeMat-Bulk | GGA-PBE | relaxed
data_AcZnAsO
_cell_length_a 4.1836
_cell_length_b 4.1836
_cell_length_c 9.3192
_cell_angle_alpha 90.00
_cell_angle_beta 90.00
_cell_angle_gamma 90.00
_space_group_name_H-M_alt 'P 1'
_space_group_IT_number 1
loop_
_space_group_symop_operation_xyz
'x,y,z'
loop_
_atom_site_label
_atom_site_type_symbol
_atom_site_fract_x
_atom_site_fract_y
_atom_site_fract_z
Ac1 Ac 0.2500 0.2500 0.1398
Ac2 Ac 0.7500 0.7500 0.8602
As1 As 0.7500 0.7500 0.3357
As2 As 0.2500 0.2500 0.6643
O1 O 0.7500 0.2500 0.0000
O2 O 0.2500 0.7500 0.0000
Zn1 Zn 0.7500 0.2500 0.5000
Zn2 Zn 0.2500 0.7500 0.5000
# Spin magnetization ... 0.00 μB per formula unit
# Energy relative to the lowest polymorph listed for this composition ... 0.0 meV/atom
# Total energy ... -5.60 eV per atom

---

Entry 13:
# AcZnAsO | OQMD via LeMat-Bulk | GGA-PBE | relaxed
data_AcZnAsO
_cell_length_a 4.4631
_cell_length_b 6.7164
_cell_length_c 6.3584
_cell_angle_alpha 90.00
_cell_angle_beta 90.00
_cell_angle_gamma 90.00
_space_group_name_H-M_alt 'P 1'
_space_group_IT_number 1
loop_
_space_group_symop_operation_xyz
'x,y,z'
loop_
_atom_site_label
_atom_site_type_symbol
_atom_site_fract_x
_atom_site_fract_y
_atom_site_fract_z
Ac1 Ac 0.0000 0.2544 0.4310
Ac2 Ac 0.0000 0.7456 0.9310
As1 As 0.0000 0.7804 0.4328
As2 As 0.0000 0.2196 0.9328
O1 O 0.5000 0.3676 0.3684
O2 O 0.5000 0.6324 0.8684
Zn1 Zn 0.5000 0.3560 0.0218
Zn2 Zn 0.5000 0.6440 0.5218
# Spin magnetization ... 0.00 μB per formula unit
# Energy relative to the lowest polymorph listed for this composition ... 260.3 meV/atom
# Total energy ... -5.34 eV per atom

---

Entry 14:
# AcAs2Pd | OQMD via LeMat-Bulk | GGA-PBE | relaxed
data_AcAs2Pd
_cell_length_a 8.7904
_cell_length_b 8.7904
_cell_length_c 4.7515
_cell_angle_alpha 90.00
_cell_angle_beta 90.00
_cell_angle_gamma 149.98
_space_group_name_H-M_alt 'P 1'
_space_group_IT_number 1
loop_
_space_group_symop_operation_xyz
'x,y,z'
loop_
_atom_site_label
_atom_site_type_symbol
_atom_site_fract_x
_atom_site_fract_y
_atom_site_fract_z
Ac1 Ac 0.8909 0.1091 0.2500
Ac2 Ac 0.1091 0.8909 0.7500
As1 As 0.5331 0.4669 0.2500
As2 As 0.2510 0.7490 0.2500
As3 As 0.7490 0.2510 0.7500
As4 As 0.4669 0.5331 0.7500
Pd1 Pd 0.6820 0.3180 0.2500
Pd2 Pd 0.3180 0.6820 0.7500
# Spin magnetization ... 0.00 μB per formula unit
# Total energy ... -5.60 eV per atom

---

Entry 15:
# AcPrAs | OQMD via LeMat-Bulk | GGA-PBE | relaxed
data_AcPrAs
_cell_length_a 5.1895
_cell_length_b 5.1895
_cell_length_c 5.1895
_cell_angle_alpha 60.00
_cell_angle_beta 60.00
_cell_angle_gamma 60.00
_space_group_name_H-M_alt 'P 1'
_space_group_IT_number 1
loop_
_space_group_symop_operation_xyz
'x,y,z'
loop_
_atom_site_label
_atom_site_type_symbol
_atom_site_fract_x
_atom_site_fract_y
_atom_site_fract_z
Ac1 Ac 0.2500 0.2500 0.2500
As1 As 0.0000 0.0000 0.0000
Pr1 Pr 0.7500 0.7500 0.7500
# Spin magnetization ... 0.01 μB per formula unit
# Total energy ... -5.25 eV per atom

---

Entry 16:
# AcTbAs | OQMD via LeMat-Bulk | GGA-PBE | relaxed
data_AcTbAs
_cell_length_a 5.1048
_cell_length_b 5.1048
_cell_length_c 5.1048
_cell_angle_alpha 60.00
_cell_angle_beta 60.00
_cell_angle_gamma 60.00
_space_group_name_H-M_alt 'P 1'
_space_group_IT_number 1
loop_
_space_group_symop_operation_xyz
'x,y,z'
loop_
_atom_site_label
_atom_site_type_symbol
_atom_site_fract_x
_atom_site_fract_y
_atom_site_fract_z
Ac1 Ac 0.2500 0.2500 0.2500
As1 As 0.0000 0.0000 0.0000
Tb1 Tb 0.7500 0.7500 0.7500
# Spin magnetization ... 0.02 μB per formula unit
# Energy relative to the lowest polymorph listed for this composition ... 0.0 meV/atom
# Total energy ... -5.11 eV per atom

---

Entry 17:
# AcTbAs | OQMD via LeMat-Bulk | GGA-PBE | relaxed
data_AcTbAs
_cell_length_a 5.3091
_cell_length_b 5.3091
_cell_length_c 5.3091
_cell_angle_alpha 60.00
_cell_angle_beta 60.00
_cell_angle_gamma 60.00
_space_group_name_H-M_alt 'P 1'
_space_group_IT_number 1
loop_
_space_group_symop_operation_xyz
'x,y,z'
loop_
_atom_site_label
_atom_site_type_symbol
_atom_site_fract_x
_atom_site_fract_y
_atom_site_fract_z
Ac1 Ac 0.0000 0.0000 0.0000
As1 As 0.2500 0.2500 0.2500
Tb1 Tb 0.7500 0.7500 0.7500
# Spin magnetization ... 1.54 μB per formula unit
# Energy relative to the lowest polymorph listed for this composition ... 1028.7 meV/atom
# Total energy ... -4.09 eV per atom

---

Entry 18:
# AcTcAs | OQMD via LeMat-Bulk | GGA-PBE | relaxed
data_AcTcAs
_cell_length_a 5.0220
_cell_length_b 5.0220
_cell_length_c 5.0220
_cell_angle_alpha 60.00
_cell_angle_beta 60.00
_cell_angle_gamma 60.00
_space_group_name_H-M_alt 'P 1'
_space_group_IT_number 1
loop_
_space_group_symop_operation_xyz
'x,y,z'
loop_
_atom_site_label
_atom_site_type_symbol
_atom_site_fract_x
_atom_site_fract_y
_atom_site_fract_z
Ac1 Ac 0.0000 0.0000 0.0000
As1 As 0.2500 0.2500 0.2500
Tc1 Tc 0.7500 0.7500 0.7500
# Spin magnetization ... 2.75 μB per formula unit
# Total energy ... -5.42 eV per atom

---

Entry 19:
# AcUAs | OQMD via LeMat-Bulk | GGA-PBE | relaxed
data_AcUAs
_cell_length_a 5.2188
_cell_length_b 5.2188
_cell_length_c 5.2188
_cell_angle_alpha 60.00
_cell_angle_beta 60.00
_cell_angle_gamma 60.00
_space_group_name_H-M_alt 'P 1'
_space_group_IT_number 1
loop_
_space_group_symop_operation_xyz
'x,y,z'
loop_
_atom_site_label
_atom_site_type_symbol
_atom_site_fract_x
_atom_site_fract_y
_atom_site_fract_z
Ac1 Ac 0.0000 0.0000 0.0000
As1 As 0.2500 0.2500 0.2500
U1 U 0.7500 0.7500 0.7500
# Spin magnetization ... 5.44 μB per formula unit
# Energy relative to the lowest polymorph listed for this composition ... 832.1 meV/atom
# Total energy ... -5.85 eV per atom

---

Entry 20:
# AcUAs | OQMD via LeMat-Bulk | GGA-PBE | relaxed
data_AcUAs
_cell_length_a 5.1009
_cell_length_b 5.1009
_cell_length_c 5.1009
_cell_angle_alpha 60.00
_cell_angle_beta 60.00
_cell_angle_gamma 60.00
_space_group_name_H-M_alt 'P 1'
_space_group_IT_number 1
loop_
_space_group_symop_operation_xyz
'x,y,z'
loop_
_atom_site_label
_atom_site_type_symbol
_atom_site_fract_x
_atom_site_fract_y
_atom_site_fract_z
Ac1 Ac 0.2500 0.2500 0.2500
As1 As 0.0000 0.0000 0.0000
U1 U 0.7500 0.7500 0.7500
# Spin magnetization ... 3.97 μB per formula unit
# Energy relative to the lowest polymorph listed for this composition ... 0.0 meV/atom
# Total energy ... -6.68 eV per atom